First-principles (PBE+U) data for a relaxed MnPd2O4 crystal, as listed in Alexandria via LeMat-Bulk.

abc: 6.2941 6.2356 6.2356
angles: 60.89 59.69 59.69
Site moments in Bohr magnetons follow the coordinates.
Sites, in units of the cell vectors:
O  0.7374  0.7226  0.8025  -0.16
O  0.2626  0.6975  0.7774  -0.16
O  0.7374  0.3025  0.2226  -0.16
O  0.7154  0.2505  0.7505  -0.09
O  0.2846  0.7495  0.2495  -0.09
O  0.2626  0.2774  0.1975  -0.16
O  0.7164  0.7495  0.2495  -0.09
O  0.2836  0.2505  0.7505  -0.09
Pd  0.8778  0.8722  0.3722  -0.80
Pd  0.5000  0.5000  0.5000  0.05
Pd  0.1222  0.1278  0.6278  -0.80
Pd  0.5000  0.0000  0.0000  0.05
Mn  0.0000  0.5000  0.0000  4.20
Mn  0.5000  0.5000  0.0000  4.20

## Properties
* space group: Imma
* magnetic moment: 5.97 μB per cell
* N(E_F): 0.210 states/eV per atom
* DFT total energy: -6.052 eV per atom
* calculated density: 6.4 g/cm³